This record from Alexandria via LeMat-Bulk describes Si2Te after structural relaxation. The functional is PBE.

## Properties
- total magnetic moment (μB/cell) = 0.00
- electronic total energy (Ry per atom) = -0.3229
- DOS at the Fermi energy (states/eV per cell) = 2.24
- uncorrected formation energy (kJ per mole of atoms) = 26.0
- energy above the lowest structure with this stoichiometry (meV per atom) = 247

Geometry as POSCAR:
```
Si2Te
1.0
3.888 0.000 0.000
-1.944 3.367 0.000
0.000 0.000 4.768
Si Te
2 1
Cartesian
0.000 2.245 1.864 Si
1.944 1.122 2.904 Si
0.000 0.000 0.000 Te
```


This record from Alexandria via LeMat-Bulk describes NiRuPt2 after structural relaxation. The functional is PBE.

## Properties
- total magnetic moment (μB/cell) = 0.58
- electronic total energy (Ry per atom) = -0.4990
- formation energy from the elements (eV/atom) = -0.0042
- DOS at the Fermi energy (states/eV per cell) = 5.52
- energy above the lowest structure with this stoichiometry (meV per atom) = 15

Geometry as POSCAR:
```
NiRuPt2
1.0
4.484 -1.363 0.000
4.484 1.363 0.000
-0.850 0.000 4.633
Ni Ru Pt
1 1 2
Cartesian
0.000 0.000 0.000 Ni
6.426 0.000 1.155 Ru
1.590 0.000 3.535 Pt
3.993 0.000 2.236 Pt
```